# TbHgPd14

TbHgPd14 after structural relaxation (PBE, Alexandria via LeMat-Bulk).

Cell and atoms, written as POSCAR:
```
TbHgPd14
1.0
5.699 -0.012 0.000
0.012 5.699 0.000
0.000 0.000 8.025
Tb Hg Pd
1 1 14
Cartesian
4.997 4.976 4.013
2.142 2.133 4.013
4.997 4.976 0.000
2.142 2.133 0.000
4.991 2.127 4.013
4.991 2.127 0.000
2.148 4.982 4.013
2.148 4.982 0.000
3.562 0.707 1.946
3.562 0.707 6.079
0.722 3.559 1.946
0.722 3.559 6.079
3.568 3.553 1.946
3.568 3.553 6.079
0.716 0.713 1.946
0.716 0.713 6.079
```

Calculated values
Energy in eV/atom: -5.077



# FeHg

FeHg after structural relaxation (PBE, Alexandria via LeMat-Bulk).

Cell and atoms, written as POSCAR:
```
FeHg
1.0
-0.042 7.141 -1.583
-5.726 0.953 4.450
4.551 1.265 5.584
Fe Hg
6 6
Cartesian
-2.873 2.262 1.829
-2.894 5.832 1.038
1.117 3.887 0.604
3.392 4.519 3.397
0.844 0.871 3.905
-2.019 1.347 6.130
2.265 2.418 2.396
2.244 5.988 1.605
-1.725 0.793 3.621
0.550 1.425 6.413
-1.452 3.809 0.321
-4.315 4.285 2.546
```

Calculated values
Energy in eV/atom: -3.057



# LiInBr2

LiInBr2 after structural relaxation (PBE, Alexandria via LeMat-Bulk).

Cell and atoms, written as POSCAR:
```
LiInBr2
1.0
-1.787 1.674 -7.142
-6.126 -4.385 0.505
-6.290 2.064 -1.933
Li Br In
2 4 2
Cartesian
-3.957 -1.355 -3.319
-8.186 -1.838 -2.373
-3.323 0.891 -4.357
-5.757 -1.892 -1.587
-8.137 0.208 -3.902
-11.190 -0.500 -7.295
0.000 0.000 0.000
-6.017 1.191 -6.197
```

Calculated values
ΔE to the lowest computed polymorph in eV/atom: 0.014
Energy in eV/atom: -3.050
Energy relative to the elements, uncorrected in eV/atom: -1.051



# GeOs3S

GeOs3S after structural relaxation (PBE, Alexandria via LeMat-Bulk).

Cell and atoms, written as POSCAR:
```
GeOs3S
1.0
4.384 0.000 0.000
0.000 4.384 0.000
0.000 0.000 4.384
Ge Os S
1 3 1
Cartesian
2.192 2.192 2.192
0.000 2.192 0.000
0.000 0.000 2.192
2.192 0.000 0.000
0.000 0.000 0.000
```

Calculated values
Energy in eV/atom: -7.228
Energy relative to the elements, uncorrected in eV/atom: 1.258



# MgSb3O

MgSb3O after structural relaxation (PBE, Alexandria via LeMat-Bulk).

Cell and atoms, written as POSCAR:
```
MgSb3O
1.0
4.809 0.000 0.000
0.000 4.809 0.000
0.000 0.000 4.809
Sb Mg O
3 1 1
Cartesian
0.000 2.404 0.000
0.000 0.000 2.404
2.404 0.000 0.000
2.404 2.404 2.404
0.000 0.000 0.000
```

Calculated values
ΔE to the lowest computed polymorph in eV/atom: 0.000
Energy in eV/atom: -3.901
Energy relative to the elements, uncorrected in eV/atom: -0.117



# Pm2BeTc2N6

Pm2BeTc2N6 after structural relaxation (PBE, Alexandria via LeMat-Bulk).

Cell and atoms, written as POSCAR:
```
Pm2BeTc2N6
1.0
-0.665 -2.725 5.049
4.178 -3.457 1.989
3.327 1.957 4.798
Pm Be Tc N
2 1 2 6
Cartesian
4.831 -3.727 8.537
2.010 -0.498 3.300
0.000 0.000 0.000
3.911 -1.198 6.476
2.930 -3.026 5.361
3.463 -4.334 6.518
3.824 -2.855 3.778
1.196 -2.458 5.439
5.645 -1.766 6.398
3.016 -1.369 8.059
3.377 0.110 5.319
```

Calculated values
Energy in eV/atom: -7.857
Energy relative to the elements, uncorrected in eV/atom: -0.229



# IrRh2Br

IrRh2Br after structural relaxation (PBE, Alexandria via LeMat-Bulk).

Cell and atoms, written as POSCAR:
```
IrRh2Br
1.0
6.466 -0.004 -0.011
-2.601 3.982 0.014
1.263 0.817 2.424
Ir Rh Br
1 2 1
Cartesian
1.932 1.989 0.001
0.000 0.000 0.000
3.864 0.407 1.207
-0.669 2.399 1.219
```

Calculated values
ΔE to the lowest computed polymorph in eV/atom: 0.323
Energy in eV/atom: -5.609
Energy relative to the elements, uncorrected in eV/atom: 0.700



# WAu2

WAu2 after structural relaxation (PBE, Alexandria via LeMat-Bulk).

Cell and atoms, written as POSCAR:
```
WAu2
1.0
1.387 5.434 0.011
-1.387 5.434 0.011
0.000 2.138 6.897
W Au
2 4
Cartesian
0.000 8.440 2.546
0.000 4.565 4.373
0.000 1.647 4.745
0.000 9.031 6.639
0.000 3.974 0.280
0.000 11.359 2.174
```

Calculated values
Energy in eV/atom: -6.157



# Ti2BeHgC

Ti2BeHgC after structural relaxation (PBE, Alexandria via LeMat-Bulk).

Cell and atoms, written as POSCAR:
```
Ti2BeHgC
1.0
4.315 0.000 0.000
0.000 4.315 0.000
0.000 0.000 3.643
Be C Hg Ti
1 1 1 2
Cartesian
0.000 0.000 1.821
0.000 0.000 0.000
2.158 2.158 1.821
0.000 2.158 0.000
2.158 0.000 0.000
```

Calculated values
Energy in eV/atom: -6.054



# As2PtRh

As2PtRh after structural relaxation (PBE, Alexandria via LeMat-Bulk).

Cell and atoms, written as POSCAR:
```
As2PtRh
1.0
3.535 0.000 0.000
0.000 3.539 0.000
0.000 0.000 5.325
As Rh Pt
2 1 1
Cartesian
0.000 0.000 4.960
1.767 1.769 1.701
1.767 1.769 4.195
0.000 0.000 2.458
```

Calculated values
ΔE to the lowest computed polymorph in eV/atom: 0.000
Energy in eV/atom: -5.939



# Mg3In12Hg

Mg3In12Hg after structural relaxation (PBE, Alexandria via LeMat-Bulk).

Cell and atoms, written as POSCAR:
```
Mg3In12Hg
1.0
4.713 0.000 0.000
0.000 4.713 0.000
0.000 0.000 18.316
Mg In Hg
3 12 1
Cartesian
0.000 0.000 4.649
0.000 0.000 9.158
0.000 0.000 13.667
2.356 2.356 0.000
2.356 2.356 4.679
2.356 2.356 9.158
2.356 2.356 13.638
2.356 0.000 2.395
2.356 0.000 6.906
2.356 0.000 11.410
2.356 0.000 15.921
0.000 2.356 2.395
0.000 2.356 6.906
0.000 2.356 11.410
0.000 2.356 15.921
0.000 0.000 0.000
```

Calculated values
Energy in eV/atom: -2.393



# Pm7Ga2Ni2

Pm7Ga2Ni2 after structural relaxation (PBE, Alexandria via LeMat-Bulk).

Cell and atoms, written as POSCAR:
```
Pm7Ga2Ni2
1.0
6.777 -0.003 -0.974
0.003 6.970 0.003
-1.395 -0.002 6.703
Pm Ga Ni
7 2 2
Cartesian
6.079 1.783 2.381
1.999 5.180 6.217
-0.693 5.182 3.352
3.387 1.785 -0.485
0.000 0.000 0.000
2.695 5.217 2.865
2.690 1.748 2.867
4.513 3.481 4.804
0.872 3.484 0.928
4.352 6.967 1.310
1.033 -0.002 4.422
```

Calculated values
Energy in eV/atom: -4.838



# Pt2Rh2Br

Pt2Rh2Br after structural relaxation (PBE, Alexandria via LeMat-Bulk).

Cell and atoms, written as POSCAR:
```
Pt2Rh2Br
1.0
7.058 0.000 0.000
0.000 7.058 0.000
0.000 0.000 3.449
Rh Br Pt
4 2 4
Cartesian
2.392 5.921 0.000
5.921 4.666 0.000
4.666 1.137 0.000
1.137 2.392 0.000
0.000 0.000 0.000
3.529 3.529 0.000
0.934 4.463 1.725
4.463 6.124 1.725
6.124 2.595 1.725
2.595 0.934 1.725
```

Calculated values
ΔE to the lowest computed polymorph in eV/atom: 0.000
Energy in eV/atom: -5.267
Energy relative to the elements, uncorrected in eV/atom: 0.424



# Sm6Ir2N

Sm6Ir2N after structural relaxation (PBE, Alexandria via LeMat-Bulk).

Cell and atoms, written as POSCAR:
```
Sm6Ir2N
1.0
6.564 0.000 -0.002
0.000 7.249 0.000
0.309 0.000 9.638
Sm Ir N
12 4 2
Cartesian
0.889 0.295 2.492
1.307 2.243 5.431
1.544 2.392 9.076
2.201 6.016 5.380
2.438 5.868 9.025
2.547 3.919 2.326
5.983 6.955 7.144
5.565 5.006 4.205
5.329 4.857 0.560
4.671 1.233 4.256
4.435 1.382 0.611
4.326 3.330 7.310
0.517 4.354 7.283
3.228 0.729 7.173
3.644 6.520 2.463
6.355 2.895 2.353
3.282 3.625 -0.001
0.154 0.000 4.819
```

Calculated values
Energy in eV/atom: -6.777
Energy relative to the elements, uncorrected in eV/atom: -0.737



# EuPuHgPb

EuPuHgPb after structural relaxation (PBE, Alexandria via LeMat-Bulk).

Cell and atoms, written as POSCAR:
```
EuPuHgPb
1.0
-3.489 -0.359 4.247
-5.369 -0.822 -0.909
-2.299 -4.840 1.274
Pb Eu Hg Pu
1 1 1 1
Cartesian
-2.789 -1.505 1.153
-5.578 -3.011 2.306
-8.368 -4.516 3.459
0.000 0.000 0.000
```

Calculated values
Energy in eV/atom: -7.479



# PuInSnHg

PuInSnHg after structural relaxation (PBE, Alexandria via LeMat-Bulk).

Cell and atoms, written as POSCAR:
```
PuInSnHg
1.0
5.273 0.000 0.000
2.637 4.567 0.000
2.637 1.522 4.306
In Hg Sn Pu
1 1 1 1
Cartesian
2.637 1.522 1.076
0.000 0.000 0.000
5.273 3.044 2.153
7.910 4.567 3.229
```

Calculated values
ΔE to the lowest computed polymorph in eV/atom: 0.115
Energy in eV/atom: -5.473



# Nd3TeO3

Nd3TeO3 after structural relaxation (PBE, Alexandria via LeMat-Bulk).

Cell and atoms, written as POSCAR:
```
Nd3TeO3
1.0
-1.373 3.913 0.767
-5.523 -3.261 6.746
8.695 2.663 1.984
Nd Te O
6 2 6
Cartesian
2.646 1.755 1.582
2.330 0.855 5.606
5.862 2.389 4.102
-0.847 1.560 7.915
-0.531 2.460 3.891
-4.063 0.925 5.396
-1.127 -0.308 5.351
2.926 3.623 4.147
4.540 1.513 6.207
5.136 2.578 1.840
1.161 0.908 3.243
-2.741 1.802 3.291
-3.337 0.736 7.658
0.638 2.407 6.254
```

Calculated values
ΔE to the lowest computed polymorph in eV/atom: 0.177
Energy in eV/atom: -7.203
Energy relative to the elements, uncorrected in eV/atom: -2.586



# Hf2ReN

Hf2ReN after structural relaxation (PBE, Alexandria via LeMat-Bulk).

Cell and atoms, written as POSCAR:
```
Hf2ReN
1.0
3.051 0.000 0.000
1.526 2.642 0.000
1.526 0.881 7.888
Re Hf N
1 2 1
Cartesian
0.000 0.000 0.000
1.526 0.881 5.284
4.577 2.642 2.604
3.051 1.762 3.944
```

Calculated values
Energy in eV/atom: -10.509
Energy relative to the elements, uncorrected in eV/atom: -0.339



# SrRe2WAu

SrRe2WAu after structural relaxation (PBE, Alexandria via LeMat-Bulk).

Cell and atoms, written as POSCAR:
```
SrRe2WAu
1.0
-1.366 -0.791 4.745
-2.157 -4.559 -1.381
4.346 -2.318 0.865
Re Au W Sr
2 1 1 1
Cartesian
2.173 -1.159 0.432
-0.683 -0.396 2.373
0.000 0.000 0.000
0.412 -3.834 2.114
-1.078 -2.279 -0.691
```

Calculated values
Energy in eV/atom: -5.939



# Re2Ru

Re2Ru after structural relaxation (PBE, Alexandria via LeMat-Bulk).

Cell and atoms, written as POSCAR:
```
Re2Ru
1.0
3.883 -0.003 0.003
-0.003 3.883 0.003
-1.930 -1.930 11.637
Re Ru
8 4
Cartesian
0.005 0.004 5.816
1.946 1.946 5.828
0.008 1.951 11.638
-0.001 1.943 0.006
0.009 0.008 9.696
1.943 1.941 1.948
1.945 0.003 3.877
1.948 0.006 7.767
0.000 0.000 1.949
1.950 1.951 9.695
0.004 1.947 7.771
0.004 1.947 3.873
```

Calculated values
ΔE to the lowest computed polymorph in eV/atom: 0.104
Energy in eV/atom: -11.352